A plane-wave DFT calculation with PBE with a Hubbard U was carried out for a relaxed structure of LiMnGe2O6.

The structure in CIF format:
```
data_LiMnGe2O6
_chemical_formula_sum 'Li4 Mn4 Ge8 O24'
_cell_length_a 10.0680
_cell_length_b 8.5642
_cell_length_c 5.7340
_cell_angle_alpha 90.00
_cell_angle_beta 108.21
_cell_angle_gamma 90.00
_symmetry_space_group_name_H-M 'C 1 2/c 1'
_symmetry_Int_Tables_number 15
loop_
_symmetry_equiv_pos_as_xyz
'x,y,z'
'-x,-y,-z'
'-x,y,-z+1/2'
'x,-y,z+1/2'
'x+1/2,y+1/2,z'
'-x+1/2,-y+1/2,-z'
'-x+1/2,y+1/2,-z+1/2'
'x+1/2,-y+1/2,z+1/2'
loop_
_atom_site_label
_atom_site_type_symbol
_atom_site_fract_x
_atom_site_fract_y
_atom_site_fract_z
_atom_site_occupancy
Li1 Li 0.0000 0.2200 0.2500 1
Mn1 Mn 0.0000 0.4158 0.7500 1
Ge1 Ge 0.2070 0.0909 0.7400 1
O1 O 0.1078 0.4082 0.1652 1
O2 O 0.1339 0.0273 0.4262 1
O3 O 0.1422 0.2805 0.7127 1
```

Output
* energy: -6.55 eV/atom